Record 1
DFT (PBE-GGA) results for an optimized crystal structure of La8TbDy4.

a = 7.2511 Å, b = 7.2487 Å, c = 10.8886 Å
α = 90.00°, β = 109.47°, γ = 119.99°
With the nearest neighbours (Å) after each atom.
Sites, in units of the cell vectors:
La: 0.0399 0.7930 0.2871  1 Tb 3.13, 2 La 3.29, 1 Dy 3.46
Dy: 0.5000 0.5000 0.0000  6 Dy 3.62-3.63, 4 La 3.63
Dy: 0.5000 0.0000 0.0000  6 Dy 3.62-3.63, 4 La 3.63
La: 0.5059 0.7530 0.7129  1 Tb 3.13, 2 La 3.29, 1 Dy 3.45
La: 0.9601 0.2070 0.7129  1 Tb 3.13, 2 La 3.29, 1 Dy 3.46
La: 0.4195 0.2097 0.6288  9 La 3.73-3.92
Dy: 0.0000 0.0000 0.0000  6 La 3.45-3.46, 6 Dy 3.62-3.63
La: 0.4941 0.2470 0.2871  1 Tb 3.13, 2 La 3.29, 1 Dy 3.46
Dy: 0.0000 0.5000 0.0000  6 Dy 3.62-3.63, 4 La 3.63
La: 0.9601 0.7531 0.7129  1 Tb 3.13, 2 La 3.29, 1 Dy 3.46
Tb: 0.0000 0.5000 0.5000  6 La 3.13
La: 0.0399 0.2469 0.2871  1 Tb 3.13, 2 La 3.29, 1 Dy 3.46
La: 0.5805 0.7903 0.3712  9 La 3.73-3.92

ρ	6.97	g/cm3
N(E_F)	1.2199	states/eV per atom
size of the total moment	0.00	μB per cell
formation energy	0.16	eV/atom

***

Record 2
DFT (PBE-GGA) results for an optimized crystal structure of Zr2Co2Rh.

a = 6.7239 Å, b = 6.7239 Å, c = 3.4856 Å
α = 90.00°, β = 90.00°, γ = 90.00°
With the nearest neighbours (Å) after each atom.
Sites, in units of the cell vectors:
Zr: 0.8173 0.3173 0.5000  6 Co 2.56-2.71
Rh: 0.5000 0.5000 0.0000  4 Co 2.68
Co: 0.1195 0.3805 0.0000  1 Co 2.27
Zr: 0.3173 0.1827 0.5000  6 Co 2.56-2.71
Co: 0.8805 0.6195 0.0000  1 Co 2.27
Co: 0.6195 0.1195 0.0000  1 Co 2.27
Rh: 0.0000 0.0000 0.0000  4 Co 2.68
Co: 0.3805 0.8805 0.0000  1 Co 2.27
Zr: 0.6827 0.8173 0.5000  6 Co 2.56-2.71
Zr: 0.1827 0.6827 0.5000  6 Co 2.56-2.71

ρ	8.50	g/cm3
N(E_F)	0.9059	states/eV per atom
size of the total moment	0.00	μB per cell
formation energy	-0.42	eV/atom

***

Record 3
DFT (PBE-GGA) results for an optimized crystal structure of K5Zn3Hg12.

a = 16.1649 Å, b = 16.1649 Å, c = 16.1649 Å
α = 109.47°, β = 109.47°, γ = 109.47°
With the nearest neighbours (Å) after each atom.
Sites, in units of the cell vectors:
Zn: 0.7500 0.3750 0.1250  4 Hg 2.82
Zn: 0.2500 0.1250 0.3750  4 Hg 2.82
K: 0.7500 0.6250 0.3750  4 Hg 3.52
K: 0.3750 0.2500 0.1250  4 Hg 3.52
K: 0.6250 0.8750 0.2500  4 Hg 3.52
Hg: 0.9035 0.3580 0.2541  1 Zn 2.82, 1 Hg 3.00
Hg: 0.5965 0.2459 0.1420  1 Zn 2.82, 1 Hg 3.00
K: 0.2500 0.3750 0.6250  4 Hg 3.52
Zn: 0.3750 0.7500 0.6250  4 Hg 2.82
Hg: 0.0965 0.6420 0.7459  1 Zn 2.82, 1 Hg 3.00
K: 0.5000 0.5000 0.0000  6 Hg 3.30
K: 0.0000 0.5000 0.0000  6 Hg 3.30
Hg: 0.1494 0.0456 0.9035  1 Zn 2.82, 1 Hg 3.00
K: 0.0000 0.5000 0.5000  6 Hg 3.30
Zn: 0.6250 0.2500 0.3750  4 Hg 2.82
Hg: 0.0965 0.4544 0.8506  1 Zn 2.82, 1 Hg 3.00
Hg: 0.1494 0.1039 0.7459  1 Zn 2.82, 1 Hg 3.00
K: 0.7500 0.1250 0.8750  4 Hg 3.52
K: 0.8750 0.6250 0.7500  4 Hg 3.52
Hg: 0.1420 0.3961 0.0456  1 Zn 2.82, 1 Hg 3.00
Hg: 0.8961 0.8506 0.7541  1 Zn 2.82, 1 Hg 3.00
Zn: 0.1250 0.2500 0.8750  4 Hg 2.82
K: 0.3750 0.1250 0.7500  4 Hg 3.52
Hg: 0.7541 0.4035 0.3580  1 Zn 2.82, 1 Hg 3.00
Hg: 0.2459 0.5965 0.6420  1 Zn 2.82, 1 Hg 3.00
Hg: 0.5456 0.9035 0.6494  1 Zn 2.82, 1 Hg 3.00
Hg: 0.3580 0.9035 0.7541  1 Zn 2.82, 1 Hg 3.00
Hg: 0.0456 0.1494 0.4035  1 Zn 2.82, 1 Hg 3.00
Hg: 0.9544 0.1039 0.8580  1 Zn 2.82, 1 Hg 3.00
Zn: 0.7500 0.8750 0.6250  4 Hg 2.82
Hg: 0.7541 0.3506 0.8961  1 Zn 2.82, 1 Hg 3.00
Hg: 0.6420 0.5456 0.8961  1 Zn 2.82, 1 Hg 3.00
Hg: 0.5965 0.3506 0.9544  1 Zn 2.82, 1 Hg 3.00
Hg: 0.8506 0.9544 0.0965  1 Zn 2.82, 1 Hg 3.00
Hg: 0.4035 0.7541 0.8580  1 Zn 2.82, 1 Hg 3.00
Zn: 0.1250 0.8750 0.7500  4 Hg 2.82
Hg: 0.8580 0.6039 0.9544  1 Zn 2.82, 1 Hg 3.00
Hg: 0.0456 0.8961 0.1420  1 Zn 2.82, 1 Hg 3.00
Hg: 0.2541 0.3961 0.8506  1 Zn 2.82, 1 Hg 3.00
Zn: 0.6250 0.3750 0.7500  4 Hg 2.82
Hg: 0.7459 0.1420 0.0965  1 Zn 2.82, 1 Hg 3.00
Zn: 0.8750 0.7500 0.1250  4 Hg 2.82
Hg: 0.3506 0.5965 0.4544  1 Zn 2.82, 1 Hg 3.00
K: 0.2500 0.8750 0.1250  4 Hg 3.52
K: 0.0000 0.0000 0.5000  6 Hg 3.30
Hg: 0.7459 0.6039 0.1494  1 Zn 2.82, 1 Hg 3.00
K: 0.5000 0.0000 0.0000  6 Hg 3.30
Hg: 0.6494 0.4035 0.5456  1 Zn 2.82, 1 Hg 3.00
Hg: 0.3580 0.4544 0.1039  1 Zn 2.82, 1 Hg 3.00
K: 0.1250 0.7500 0.3750  4 Hg 3.52
Hg: 0.4544 0.0965 0.3506  1 Zn 2.82, 1 Hg 3.00
Hg: 0.3506 0.7541 0.3961  1 Zn 2.82, 1 Hg 3.00
Zn: 0.3750 0.6250 0.2500  4 Hg 2.82
Hg: 0.6039 0.7459 0.6494  1 Zn 2.82, 1 Hg 3.00
Hg: 0.9544 0.8506 0.5965  1 Zn 2.82, 1 Hg 3.00
Hg: 0.4035 0.6494 0.0456  1 Zn 2.82, 1 Hg 3.00
K: 0.1250 0.3750 0.2500  4 Hg 3.52
Hg: 0.6039 0.8580 0.4544  1 Zn 2.82, 1 Hg 3.00
Zn: 0.2500 0.6250 0.8750  4 Hg 2.82
Hg: 0.1039 0.1494 0.2459  1 Zn 2.82, 1 Hg 3.00
K: 0.6250 0.7500 0.8750  4 Hg 3.52
Hg: 0.8580 0.2541 0.4035  1 Zn 2.82, 1 Hg 3.00
K: 0.0000 0.0000 0.0000  6 Hg 3.30
Zn: 0.8750 0.1250 0.2500  4 Hg 2.82
Hg: 0.6494 0.2459 0.6039  1 Zn 2.82, 1 Hg 3.00
K: 0.5000 0.5000 0.5000  6 Hg 3.30
Hg: 0.2459 0.6494 0.1039  1 Zn 2.82, 1 Hg 3.00
Hg: 0.4544 0.3580 0.6039  1 Zn 2.82, 1 Hg 3.00
Hg: 0.1420 0.7459 0.5965  1 Zn 2.82, 1 Hg 3.00
K: 0.5000 0.0000 0.5000  6 Hg 3.30
Hg: 0.6420 0.0965 0.2459  1 Zn 2.82, 1 Hg 3.00
Hg: 0.3961 0.2541 0.3506  1 Zn 2.82, 1 Hg 3.00
K: 0.8750 0.2500 0.6250  4 Hg 3.52
Hg: 0.5456 0.6420 0.3961  1 Zn 2.82, 1 Hg 3.00
Hg: 0.1039 0.9544 0.3580  1 Zn 2.82, 1 Hg 3.00
Hg: 0.8961 0.0456 0.6420  1 Zn 2.82, 1 Hg 3.00
Hg: 0.9035 0.5456 0.1494  1 Zn 2.82, 1 Hg 3.00
Hg: 0.8506 0.8961 0.2541  1 Zn 2.82, 1 Hg 3.00
Hg: 0.3961 0.1420 0.5456  1 Zn 2.82, 1 Hg 3.00
Hg: 0.2541 0.8580 0.9035  1 Zn 2.82, 1 Hg 3.00

ρ	5.72	g/cm3
N(E_F)	0.6480	states/eV per atom
size of the total moment	0.81	μB per cell
formation energy	0.14	eV/atom

***

Record 4
DFT (PBE-GGA) results for an optimized crystal structure of BaCrOs2I.

a = 4.6038 Å, b = 5.8037 Å, c = 4.6038 Å
α = 90.00°, β = 90.00°, γ = 90.00°
With the nearest neighbours (Å) after each atom.
Sites, in units of the cell vectors:
Os: 0.0000 0.0000 0.5000  2 Cr 2.30
Ba: 0.5000 0.5000 0.5000  4 I 3.26
Cr: 0.0000 0.0000 0.0000  4 Os 2.30
I: 0.0000 0.5000 0.0000  2 Cr 2.90
Os: 0.5000 0.0000 0.0000  2 Cr 2.30

ρ	9.40	g/cm3
N(E_F)	1.1369	states/eV per atom
size of the total moment	0.00	μB per cell
electronic total energy	-6.130	eV per atom

***

Record 5
DFT (PBE-GGA) results for an optimized crystal structure of ScSbRu.

a = 4.5193 Å, b = 4.5193 Å, c = 3.2391 Å
α = 90.00°, β = 90.00°, γ = 120.00°
With the nearest neighbours (Å) after each atom.
Sites, in units of the cell vectors:
Ru: 0.0000 0.0000 0.1669  3 Sb 2.61
Sb: 0.6667 0.3333 0.1665  3 Ru 2.61
Sc: 0.3333 0.6667 0.6666  6 Ru 3.07, 6 Sb 3.07, 2 Sc 3.24

ρ	7.76	g/cm3
N(E_F)	0.7451	states/eV per atom
size of the total moment	0.00	μB per cell
electronic total energy	-7.088	eV per atom

***

Record 6
DFT (PBE-GGA) results for an optimized crystal structure of PuCd6Au6.

a = 5.5720 Å, b = 7.5480 Å, c = 7.5480 Å
α = 81.53°, β = 68.34°, γ = 68.34°
With the nearest neighbours (Å) after each atom.
Sites, in units of the cell vectors:
Au: 0.5000 0.2048 0.7952  4 Cd 2.88-3.12, 4 Au 2.89
Cd: 0.6486 0.3514 0.3514  3 Cd 2.97-3.14, 6 Au 3.01-3.27
Cd: 0.0000 0.3472 0.6528  3 Cd 3.01-3.30, 6 Au 3.01-3.12
Cd: 0.7057 0.7943 0.7943  6 Au 2.87-2.88, 2 Cd 3.14
Au: 0.5000 0.5000 0.0000  4 Au 2.79-2.89, 6 Cd 2.87-3.01
Au: 0.5000 0.0000 0.5000  4 Au 2.79-2.89, 6 Cd 2.87-3.01
Au: 0.0000 0.5000 0.0000  4 Au 2.79-2.89, 6 Cd 2.87-3.01
Cd: 0.0000 0.6528 0.3472  3 Cd 3.01-3.30, 6 Au 3.01-3.12
Cd: 0.3514 0.6486 0.6486  3 Cd 2.97-3.14, 6 Au 3.01-3.27
Cd: 0.2943 0.2057 0.2057  6 Au 2.87-2.88, 2 Cd 3.14
Au: 0.0000 0.0000 0.5000  4 Au 2.79-2.89, 6 Cd 2.87-3.01
Au: 0.5000 0.7952 0.2048  4 Cd 2.88-3.12, 4 Au 2.89
Pu: 0.0000 0.0000 0.0000  8 Cd 3.42-3.51, 12 Au 3.44-3.77

ρ	12.72	g/cm3
N(E_F)	1.6535	states/eV per atom
size of the total moment	6.20	μB per cell
formation energy	-0.17	eV/atom

***

> What is the formula in the second record?

Zr2Co2Rh